Record 1
Here is a relaxed BaCaPdPt crystal from Alexandria via LeMat-Bulk. Energies are from PBE.

E_form	-0.5884	eV per atom
symmetry	No. 216
electronic total energy	-4.378	eV/atom

Lattice parameters (Å, degrees): 5.2532 5.2532 5.2532 60.00 60.00 60.00
With the nearest neighbours (Å) after each atom.
Atoms (fractional coordinates):
Ba  0.0000  0.0000  0.0000  4 Pt 3.22, 4 Pd 3.22
Ca  0.5000  0.5000  0.5000  4 Pd 3.22, 4 Pt 3.22
Pt  0.7500  0.7500  0.7500  4 Ba 3.22, 4 Ca 3.22
Pd  0.2500  0.2500  0.2500  4 Ba 3.22, 4 Ca 3.22

Record 2
Here is a relaxed RbBa2CaPd crystal from Alexandria via LeMat-Bulk. Energies are from PBE.

E_form	-0.2090	eV per atom
symmetry	No. 123
electronic total energy	-2.610	eV/atom

Lattice parameters (Å, degrees): 6.4457 6.4457 5.9879 90.00 90.00 90.00
With the nearest neighbours (Å) after each atom.
Atoms (fractional coordinates):
Ba  0.5000  0.0000  0.0000  2 Pd 3.22
Ba  0.0000  0.5000  0.0000  2 Pd 3.22
Rb  0.5000  0.5000  0.5000  8 Ba 4.40, 4 Ca 4.56
Ca  0.0000  0.0000  0.5000  2 Pd 2.99
Pd  0.0000  0.0000  0.0000  2 Ca 2.99, 4 Ba 3.22

Record 3
Here is a relaxed RbBa2CaPd crystal from Alexandria via LeMat-Bulk. Energies are from PBE.

E_form	-0.0344	eV per atom
symmetry	No. 123
electronic total energy	-2.436	eV/atom

Lattice parameters (Å, degrees): 6.2825 6.2825 6.6744 90.00 90.00 90.00
With the nearest neighbours (Å) after each atom.
Atoms (fractional coordinates):
Rb  0.0000  0.0000  0.5000  2 Pd 3.34
Pd  0.0000  0.0000  0.0000  4 Ba 3.14, 2 Rb 3.34
Ca  0.5000  0.5000  0.5000  4 Rb 4.44, 8 Ba 4.58
Ba  0.0000  0.5000  0.0000  2 Pd 3.14
Ba  0.5000  0.0000  0.0000  2 Pd 3.14

Record 4
Here is a relaxed BaCaSb2Pd5 crystal from Alexandria via LeMat-Bulk. Energies are from PBE.

E_form (uncorrected)	-0.557	eV per atom
symmetry	No. 123
electronic total energy	-4.794	eV/atom

Lattice parameters (Å, degrees): 4.9052 4.9052 8.5886 90.00 90.00 90.00
With the nearest neighbours (Å) after each atom.
Atoms (fractional coordinates):
Pd  0.0000  0.5000  0.2691  2 Sb 2.59
Pd  0.5000  0.0000  0.7309  2 Sb 2.59
Pd  0.5000  0.0000  0.2691  2 Sb 2.59
Pd  0.5000  0.5000  0.5000  2 Sb 2.81
Pd  0.0000  0.5000  0.7309  2 Sb 2.59
Ba  0.0000  0.0000  0.5000  12 Pd 3.15-3.47
Sb  0.5000  0.5000  0.1724  5 Pd 2.59-2.81
Sb  0.5000  0.5000  0.8276  5 Pd 2.59-2.81
Ca  0.0000  0.0000  0.0000  8 Pd 3.37, 8 Sb 3.77

Record 5
Here is a relaxed BaCa2SnPd crystal from Alexandria via LeMat-Bulk. Energies are from PBE.

E_form	-0.4665	eV per atom
symmetry	No. 123
electronic total energy	-3.491	eV/atom

Lattice parameters (Å, degrees): 5.5979 5.5979 5.3391 90.00 90.00 90.00
With the nearest neighbours (Å) after each atom.
Atoms (fractional coordinates):
Pd  0.0000  0.0000  0.0000  2 Sn 2.67, 4 Ca 2.80
Ba  0.5000  0.5000  0.5000  8 Ca 3.87, 4 Sn 3.96
Ca  0.5000  0.0000  0.0000  2 Pd 2.80
Ca  0.0000  0.5000  0.0000  2 Pd 2.80
Sn  0.0000  0.0000  0.5000  2 Pd 2.67

Record 6
Here is a relaxed Ba2SrCaPd crystal from Alexandria via LeMat-Bulk. Energies are from PBE.

E_form	-0.2368	eV per atom
symmetry	No. 123
electronic total energy	-2.781	eV/atom

Lattice parameters (Å, degrees): 6.3080 6.3080 6.1014 90.00 90.00 90.00
With the nearest neighbours (Å) after each atom.
Atoms (fractional coordinates):
Sr  0.0000  0.0000  0.5000  2 Pd 3.05
Ba  0.0000  0.5000  0.0000  2 Pd 3.15
Ba  0.5000  0.0000  0.0000  2 Pd 3.15
Ca  0.5000  0.5000  0.5000  8 Ba 4.39, 4 Sr 4.46
Pd  0.0000  0.0000  0.0000  2 Sr 3.05, 4 Ba 3.15